(1)
CuH8C12S2N4 PBE optimized geometry; space-group type = P-1 (2); total energy = -721.647 eV/cell; V = 12.30 A^3/atom
1.0
10.308 0.000 0.000
-4.080 10.933 0.000
-3.291 -5.083 11.792
C Cu H N S
48 4 32 16 8
Cartesian
1.820 0.139 0.152
7.709 3.584 0.153
8.006 1.070 0.346
5.361 2.967 0.360
-1.942 8.681 0.386
1.820 4.965 0.898
4.213 2.760 1.088
1.165 0.180 1.380
-2.606 8.724 1.615
-3.102 9.936 2.110
6.488 3.794 2.262
4.215 3.064 2.460
2.307 9.545 2.475
5.361 3.606 3.046
3.065 2.786 3.259
0.222 -0.955 3.401
-0.388 5.893 3.739
2.414 -0.831 4.558
5.576 6.849 4.595
1.787 5.961 4.884
0.393 6.113 4.910
-2.185 3.123 5.192
3.181 -0.637 5.689
0.438 -0.340 5.746
2.499 6.190 6.046
-0.244 6.487 6.103
5.122 2.727 6.600
2.544 -0.263 6.882
1.151 -0.111 6.908
-2.639 -0.999 7.197
0.523 6.681 7.234
3.325 -0.043 8.053
2.715 6.805 8.391
-0.128 3.064 8.533
-2.424 2.244 8.746
0.631 -3.695 9.317
-1.277 2.786 9.332
-3.551 2.056 9.530
6.040 -4.086 9.682
5.543 -2.874 10.177
1.772 5.670 10.412
-1.275 3.090 10.704
1.117 0.885 10.894
4.879 -2.831 11.406
-2.423 2.883 11.432
-5.069 4.780 11.446
-4.772 2.266 11.639
1.118 5.711 11.640
3.915 6.914 2.017
6.416 0.649 4.761
-3.478 5.202 7.031
-0.978 -1.064 9.775
4.300 9.886 0.441
3.327 2.382 0.585
-1.277 6.646 0.668
0.799 8.189 0.702
-1.830 4.026 0.803
7.500 1.084 1.313
0.778 1.126 1.764
-2.752 7.803 2.184
7.413 4.216 2.647
-0.528 -0.153 3.389
-4.376 9.030 3.598
2.855 -1.088 3.598
2.308 5.698 3.965
5.399 3.862 4.101
4.263 -0.749 5.629
-0.645 -0.257 5.688
3.582 6.107 6.104
-1.326 6.599 6.163
-2.461 1.988 7.691
0.630 0.152 7.827
0.082 6.938 8.194
7.314 -3.180 8.194
3.465 6.003 8.403
-4.476 1.634 9.145
5.690 -1.953 9.608
2.160 4.724 10.028
-4.563 4.766 10.479
4.767 1.824 10.989
2.138 -2.339 11.090
4.214 -0.796 11.124
-0.390 3.468 11.207
-1.362 -4.036 11.351
6.475 3.459 0.956
2.507 5.626 1.605
3.020 8.639 2.197
-1.057 5.725 2.796
5.053 6.632 3.550
2.139 2.519 3.918
1.073 -0.681 4.600
5.358 1.807 5.890
-2.421 4.043 5.902
1.865 6.531 7.192
0.798 3.331 7.874
-2.115 -0.782 8.242
3.994 0.125 8.996
-0.083 -2.789 9.595
0.430 0.224 10.187
-3.538 2.391 10.836
5.323 6.899 0.082
5.398 -0.129 2.823
-1.934 1.851 4.196
7.005 -1.370 5.750
-4.067 7.220 6.042
4.872 3.999 7.596
-2.460 5.980 8.969
-2.385 -1.049 11.710

(2)
Hf2CuC PBE optimized geometry; space-group type = C2/c (15); total energy = -207.733 eV/cell; V = 15.74 A^3/atom
1.0
4.928 -2.800 0.000
4.928 2.800 0.000
-3.216 0.000 13.695
C Cu Hf
6 6 12
Cartesian
2.464 -1.400 0.000
5.733 -1.376 0.023
2.515 -1.376 6.825
0.856 1.400 6.848
4.125 1.376 6.870
0.907 1.376 13.673
2.128 0.537 3.422
4.124 1.966 3.424
6.119 0.537 3.426
0.521 -0.537 10.270
2.516 -1.966 10.272
4.511 -0.537 10.274
0.829 -0.494 1.228
7.379 -0.476 1.241
4.112 -0.420 1.368
4.136 -0.420 5.480
0.869 -0.476 5.607
7.419 -0.494 5.620
-0.779 0.494 8.076
5.771 0.476 8.089
2.504 0.420 8.216
2.528 0.420 12.327
-0.739 0.476 12.454
5.811 0.494 12.467

(3)
Hf2CuC PBE optimized geometry; space-group type = P6_3/mmc (194); total energy = -69.209 eV/cell; V = 15.50 A^3/atom
1.0
3.251 0.000 0.000
-1.626 2.816 0.000
0.000 0.000 13.545
C Cu Hf
2 2 4
Cartesian
0.000 0.000 0.000
0.000 0.000 6.772
1.626 0.939 3.386
0.000 1.877 10.159
0.000 1.877 1.299
0.000 1.877 5.473
1.626 0.939 8.072
1.626 0.939 12.246

(4)
Hf4CuC3 PBE optimized geometry; space-group type = P6_3/mmc (194); total energy = -153.813 eV/cell; V = 14.03 A^3/atom
1.0
3.292 0.000 0.000
-1.646 2.851 0.000
0.000 0.000 23.925
C Cu Hf
6 2 8
Cartesian
0.000 0.000 0.000
1.646 0.950 2.729
1.646 0.950 9.233
0.000 0.000 11.963
0.000 1.901 14.692
0.000 1.901 21.196
0.000 1.901 5.981
1.646 0.950 17.944
0.000 1.901 1.301
0.000 0.000 3.931
0.000 0.000 8.032
0.000 1.901 10.662
1.646 0.950 13.264
0.000 0.000 15.893
0.000 0.000 19.995
1.646 0.950 22.625